Density functional theory data (PBE) for a relaxed structure of InSb3Mo. Values from VASP.

Geometry as Quantum ESPRESSO input:
```
&SYSTEM
  ibrav = 0, nat = 5, ntyp = 3
/
ATOMIC_SPECIES
Sb 121.76 Sb.upf
Mo 95.94 Mo.upf
In 114.82 In.upf
ATOMIC_POSITIONS angstrom
Sb 0.000 2.648 0.000
Sb 0.000 0.000 2.648
Sb 2.648 0.000 0.000
Mo 0.000 0.000 0.000
In 2.648 2.648 2.648
CELL_PARAMETERS angstrom
5.296 0.000 0.000
0.000 5.296 0.000
0.000 0.000 5.296
```

Properties
DOS at the Fermi energy = 3.284 states/eV/cell
raw total energy = -23.8 eV/f.u.
M_tot = 0.00 μB per formula unit
V = 148.58 Å³ per cell



Density functional theory data (PBE) for a relaxed structure of InSb3Mo. Values from VASP.

Geometry as Quantum ESPRESSO input:
```
&SYSTEM
  ibrav = 0, nat = 5, ntyp = 3
/
ATOMIC_SPECIES
Sb 121.76 Sb.upf
Mo 95.94 Mo.upf
In 114.82 In.upf
ATOMIC_POSITIONS angstrom
Sb -0.423 -2.726 0.028
Sb 1.582 -0.222 2.250
Sb -2.221 0.361 1.597
Mo -1.062 -2.588 3.875
In 0.000 0.000 0.000
CELL_PARAMETERS angstrom
-4.441 0.722 3.194
-0.846 -5.453 0.056
3.163 -0.445 4.499
```

Properties
DOS at the Fermi energy = 4.093 states/eV/cell
raw total energy = -18.6 eV/f.u.
M_tot = 3.55 μB per formula unit
V = 168.02 Å³ per cell



Density functional theory data (PBE) for a relaxed structure of InSb2Mo. Values from VASP.

Geometry as Quantum ESPRESSO input:
```
&SYSTEM
  ibrav = 0, nat = 4, ntyp = 3
/
ATOMIC_SPECIES
In 114.82 In.upf
Mo 95.94 Mo.upf
Sb 121.76 Sb.upf
ATOMIC_POSITIONS angstrom
In 2.463 0.000 1.812
Mo 0.000 2.463 1.812
Sb 0.000 0.000 0.000
Sb 2.463 2.463 0.000
CELL_PARAMETERS angstrom
4.926 0.000 0.000
0.000 4.926 0.000
0.000 0.000 3.624
```

Properties
DOS at the Fermi energy = 2.654 states/eV/cell
raw total energy = -19.5 eV/f.u.
M_tot = 0.00 μB per formula unit
V = 87.92 Å³ per cell



Density functional theory data (PBE) for a relaxed structure of InSb2Mo. Values from VASP.

Geometry as Quantum ESPRESSO input:
```
&SYSTEM
  ibrav = 0, nat = 4, ntyp = 3
/
ATOMIC_SPECIES
In 114.82 In.upf
Mo 95.94 Mo.upf
Sb 121.76 Sb.upf
ATOMIC_POSITIONS angstrom
In 0.174 -4.216 0.087
Mo -1.316 -5.229 -2.129
Sb -0.600 -7.116 0.226
Sb -0.669 -2.427 -2.254
CELL_PARAMETERS angstrom
-0.419 -0.114 -4.706
2.216 -2.975 -0.125
-3.012 -4.574 0.379
```

Properties
DOS at the Fermi energy = 2.973 states/eV/cell
raw total energy = -20.6 eV/f.u.
M_tot = 0.00 μB per formula unit
V = 90.62 Å³ per cell